Record 1
# PrPuRh2 | Alexandria | PBE | optimized geometry
# Energy   -8.756 eV/atom
# N(E_F)   1.66 states/eV per atom
data_PrPuRh2
_chemical_formula_sum 'Pr4 Pu4 Rh8'
_cell_length_a 5.979
_cell_length_b 5.856
_cell_length_c 11.042
_cell_angle_alpha 90.00
_cell_angle_beta 96.20
_cell_angle_gamma 90.00
_symmetry_space_group_name_H-M 'C 1 2/m 1'
_symmetry_Int_Tables_number 12
loop_
_symmetry_equiv_pos_as_xyz
'x,y,z'
'-x,-y,-z'
'-x,y,-z'
'x,-y,z'
'x+1/2,y+1/2,z'
'-x+1/2,-y+1/2,-z'
'-x+1/2,y+1/2,-z'
'x+1/2,-y+1/2,z'
loop_
_atom_site_label
_atom_site_fract_x
_atom_site_fract_y
_atom_site_fract_z
Pr1 0.183 0.000 0.141
Pu1 0.213 0.500 0.345
Rh1 0.000 0.249 0.500
Rh2 0.171 0.500 0.104

---

Record 2
# BaMg2Al | Alexandria | PBE | optimized geometry
# Energy   -2.223 eV/atom
# N(E_F)   0.76 states/eV per atom
data_BaMg2Al
_chemical_formula_sum 'Ba1 Mg2 Al1'
_cell_length_a 3.732
_cell_length_b 3.732
_cell_length_c 8.263
_cell_angle_alpha 90.00
_cell_angle_beta 90.00
_cell_angle_gamma 90.00
_symmetry_space_group_name_H-M 'P 4 m m'
_symmetry_Int_Tables_number 99
loop_
_symmetry_equiv_pos_as_xyz
'x,y,z'
'-y,x,z'
'-x,-y,z'
'y,-x,z'
'-x,y,z'
'y,x,z'
'x,-y,z'
'-y,-x,z'
loop_
_atom_site_label
_atom_site_fract_x
_atom_site_fract_y
_atom_site_fract_z
Ba1 0.000 0.000 0.000
Mg1 0.000 0.000 0.538
Mg2 0.500 0.500 0.332
Al1 0.500 0.500 0.707

---

Record 3
# NdSm3Dy8 | Alexandria | PBE | optimized geometry
# Energy   -4.626 eV/atom
# N(E_F)   1.84 states/eV per atom
data_NdSm3Dy8
_chemical_formula_sum 'Nd2 Sm6 Dy16'
_cell_length_a 15.778
_cell_length_b 6.304
_cell_length_c 10.899
_cell_angle_alpha 90.00
_cell_angle_beta 133.61
_cell_angle_gamma 90.00
_symmetry_space_group_name_H-M 'C 1 2 1'
_symmetry_Int_Tables_number 5
loop_
_symmetry_equiv_pos_as_xyz
'x,y,z'
'-x,y,-z'
'x+1/2,y+1/2,z'
'-x+1/2,y+1/2,-z'
loop_
_atom_site_label
_atom_site_fract_x
_atom_site_fract_y
_atom_site_fract_z
Nd1 0.000 0.000 0.000
Sm1 0.000 0.501 0.500
Sm2 0.250 0.335 0.250
Dy1 0.000 0.003 0.333
Dy2 0.000 0.503 0.168
Dy3 0.249 0.333 0.582
Dy4 0.250 0.333 0.917